1.
Here is a relaxed structure of YScU2As4 from Alexandria. Energies are from GGA-PBE.

Values from the calculation:
- E: -0.287 hartree per atom
- E_form: -1063 meV per atom

a = 4.020 Å, b = 6.989 Å, c = 7.051 Å
α = 109.15°, β = 90.00°, γ = 90.00°
Last column: magnetic moment on the atom in μB.
Fractional positions:
As 0.000 0.740 0.242  -0.02
As 0.500 0.744 0.753  0.02
As 0.000 0.260 0.758  -0.02
As 0.500 0.256 0.247  0.02
U 0.000 0.500 0.500  -2.06
U 0.500 0.000 0.500  2.21
Y 0.000 0.000 0.000  -0.01
Sc 0.500 0.500 0.000  0.02

=====

2.
Here is a relaxed structure of KCe2AuS4 from Alexandria. Energies are from GGA-PBE.

Values from the calculation:
- Formation energy from raw total energies: -1.51 eV/atom
- E: -0.206 hartree per atom

a = 4.150 Å, b = 7.233 Å, c = 14.302 Å
α = 90.00°, β = 90.00°, γ = 106.67°
Last column: magnetic moment on the atom in μB.
Fractional positions:
K 0.883 0.767 0.250  0.00
K 0.117 0.233 0.750  0.00
Au 0.841 0.682 0.750  0.00
Au 0.159 0.318 0.250  0.00
S 0.264 0.528 0.106  -0.02
S 0.556 0.112 0.250  -0.01
S 0.736 0.472 0.894  -0.02
S 0.000 0.000 0.500  -0.03
S 0.444 0.888 0.750  -0.01
S 0.264 0.528 0.394  -0.02
S 0.736 0.472 0.606  -0.02
S 0.000 0.000 0.000  -0.03
Ce 0.370 0.739 0.936  0.91
Ce 0.630 0.261 0.064  0.91
Ce 0.630 0.261 0.436  0.91
Ce 0.370 0.739 0.564  0.91

=====

Question: What is the formula in the second record?
Answer: KCe2AuS4

=====

Question: Which of these has the lowest E?
Answer: YScU2As4

=====

Question: The lowest E belongs to which entry?
Answer: YScU2As4

=====

Question: E of number 2 (KCe2AuS4)?
Answer: -0.206 hartree per atom